[1]
Below is a relaxed structure of ScPt3Cl, with properties calculated at the PBE level.

Unit cell a=4.595 b=4.595 c=4.595 alpha=90.00 beta=90.00 gamma=90.00
Space group Pm-3m (No. 221)
Unique sites:
Sc1 0.000 0.000 0.000 (multiplicity 1)
Pt1 0.000 0.500 0.500 (multiplicity 3)
Cl1 0.500 0.500 0.500 (multiplicity 1)

Computed properties:
raw total energy: -4.861 eV/atom
distance to the lowest polymorph of the same formula: 0 meV/atom
total magnetic moment: 0.00 μB/cell
calculated density: 11.4 g/cm3
crystal system: cubic

=====

[2]
Below is a relaxed structure of Al2Rh, with properties calculated at the PBE level.

Unit cell a=9.602 b=2.929 c=6.412 alpha=90.00 beta=100.47 gamma=90.00
Space group Cm (No. 8)
Unique sites:
Al1 0.000 0.000 0.000 (multiplicity 2)
Al2 0.070 0.000 0.585 (multiplicity 2)
Al3 0.209 0.500 0.287 (multiplicity 2)
Al4 0.346 0.000 0.663 (multiplicity 2)
Rh1 0.213 0.500 0.890 (multiplicity 2)
Rh2 0.429 0.000 0.297 (multiplicity 2)

Computed properties:
raw total energy: -5.623 eV/atom
total magnetic moment: 0.00 μB/cell
calculated density: 5.9 g/cm3
crystal system: monoclinic
energy of formation from the pure elements: -678.0 meV/atom

=====

The lowest raw total energy belongs to which entry?
Al2Rh